Material: ZrTa2Pb
Method: DFT, PBE-GGA
State: optimized geometry

Geometry as extended XYZ:
```
4
Lattice="3.002 0.000 0.000 0.000 3.002 0.000 0.000 0.000 9.504" Properties=species:S:1:pos:R:3 pbc="T T T"
Zr 0.000 0.000 0.000
Ta 1.501 1.501 2.337
Ta 1.501 1.501 7.167
Pb 0.000 0.000 4.752
```

Summary:
For the electronic total energy, the calculation gives -8.55 eV per atom. The density of states at the Fermi level comes out at 2.675 states/eV per cell. The symmetry is No. 123. For the formation energy, the calculation gives 0.44 eV per atom.